VASP calculation (GGA-PBE) on crystalline Ba2MgSb at its relaxed geometry.

Lattice parameters (Å, degrees): 5.6211 4.6863 5.8390 90.02 90.00 90.00
Last column: nearest neighbours and their distance in Å.
Positions (direct):
Ba (0.0000, 0.1256, 0.9001)  4 Mg 3.63-3.86, 4 Sb 3.68-3.69, 2 Ba 3.84
Ba (0.5000, 0.1243, 0.3490)  4 Sb 3.64-3.85, 4 Mg 3.68-3.69, 2 Ba 3.84
Mg (0.0000, 0.6251, 0.4254)  8 Ba 3.63-3.86, 2 Sb 3.65
Sb (0.5000, 0.6250, 0.8255)  8 Ba 3.64-3.85, 2 Mg 3.65

Values from the calculation:
E, eV per cell: -11.77
Raw formation energy, eV/atom: -0.55
Magnetic moment, μB per cell: 0.0
ΔE to the lowest computed polymorph, eV/f.u.: 0.00
ρ, kg/m³: 4542

=====

VASP calculation (GGA-PBE) on crystalline PmAlPd at its relaxed geometry.

Lattice parameters (Å, degrees): 4.4738 6.5117 9.9975 90.00 90.00 90.00
Last column: nearest neighbours and their distance in Å.
Positions (direct):
Pm (0.7500, 0.9536, 0.1580)  4 Pd 2.81-3.05
Pm (0.2500, 0.4536, 0.3420)  4 Pd 2.81-3.05
Pm (0.2500, 0.0464, 0.8420)  4 Pd 2.81-3.05
Pm (0.7500, 0.5464, 0.6580)  4 Pd 2.81-3.05
Pd (0.7500, 0.7551, 0.4073)  3 Al 2.57-2.58, 2 Pm 2.81-2.85
Pd (0.2500, 0.2551, 0.0927)  3 Al 2.57-2.58, 2 Pm 2.81-2.85
Pd (0.2500, 0.2449, 0.5927)  3 Al 2.57-2.58, 2 Pm 2.81-2.85
Pd (0.7500, 0.7449, 0.9073)  3 Al 2.57-2.58, 2 Pm 2.81-2.85
Al (0.7500, 0.4464, 0.0772)  3 Pd 2.57-2.58, 2 Al 2.81
Al (0.2500, 0.9464, 0.4228)  3 Pd 2.57-2.58, 2 Al 2.81
Al (0.2500, 0.5536, 0.9228)  3 Pd 2.57-2.58, 2 Al 2.81
Al (0.7500, 0.0536, 0.5772)  3 Pd 2.57-2.58, 2 Al 2.81

Values from the calculation:
E, eV per cell: -61.98
Energy of formation, meV per atom: -603
Magnetic moment, μB per cell: 0.0
ΔE to the lowest computed polymorph, eV/f.u.: 0.66
ρ, kg/m³: 6349

=====

VASP calculation (GGA-PBE) on crystalline RbCaHgBi at its relaxed geometry.

Lattice parameters (Å, degrees): 5.8120 5.8120 5.8120 60.00 60.00 60.00
Last column: nearest neighbours and their distance in Å.
Positions (direct):
Ca (0.5000, 0.5000, 0.5000)  4 Bi 3.56, 4 Hg 3.56
Bi (0.7500, 0.7500, 0.7500)  4 Ca 3.56, 4 Rb 3.56
Rb (0.0000, 0.0000, 0.0000)  4 Hg 3.56, 4 Bi 3.56
Hg (0.2500, 0.2500, 0.2500)  4 Ca 3.56, 4 Rb 3.56

Values from the calculation:
E, eV per cell: -8.99
Energy of formation, meV per atom: -459
Magnetic moment, μB per cell: 0.0
ρ, kg/m³: 6401

=====

VASP calculation (GGA-PBE) on crystalline Li2Sm2TmSn2 at its relaxed geometry.

Lattice parameters (Å, degrees): 4.7702 4.7702 9.4235 75.34 75.34 60.00
Last column: nearest neighbours and their distance in Å.
Positions (direct):
Li (0.6062, 0.6062, 0.1813)  3 Sn 2.76
Li (0.3938, 0.3938, 0.8187)  3 Sn 2.76
Sm (0.1275, 0.1275, 0.6175)  3 Sn 3.21, 3 Li 3.30, 1 Tm 3.45, 3 Sm 3.47
Sm (0.8725, 0.8725, 0.3825)  3 Sn 3.21, 3 Li 3.30, 1 Tm 3.45, 3 Sm 3.47
Tm (0.0000, 0.0000, 0.0000)  6 Li 3.20, 6 Sn 3.29, 2 Sm 3.45
Sn (0.7329, 0.7329, 0.8013)  3 Li 2.76
Sn (0.2671, 0.2671, 0.1987)  3 Li 2.76

Values from the calculation:
E, eV per cell: -28.85
Energy of formation, meV per atom: -444
Magnetic moment, μB per cell: 0.0
ρ, kg/m³: 6741

=====

VASP calculation (GGA-PBE) on crystalline Li3CeSb3 at its relaxed geometry.

Lattice parameters (Å, degrees): 8.6452 8.6452 7.7046 55.87 55.87 60.00
Last column: nearest neighbours and their distance in Å.
Positions (direct):
Li (0.3625, 0.8132, 0.7424)  5 Sb 2.85-3.13
Li (0.8132, 0.0819, 0.7424)  5 Sb 2.85-3.13
Li (0.0819, 0.3625, 0.7424)  5 Sb 2.85-3.13
Li (0.9181, 0.6375, 0.2576)  5 Sb 2.85-3.13
Li (0.1868, 0.9181, 0.2576)  5 Sb 2.85-3.13
Li (0.6375, 0.1868, 0.2576)  5 Sb 2.85-3.13
Ce (0.3222, 0.3222, 0.0334)  6 Sb 3.10-3.11, 3 Li 3.41
Ce (0.6778, 0.6778, 0.9666)  6 Sb 3.10-3.11, 3 Li 3.41
Sb (0.2994, 0.5482, 0.2536)  5 Li 2.85-3.13, 2 Ce 3.10-3.11
Sb (0.8989, 0.2994, 0.2536)  5 Li 2.85-3.13, 2 Ce 3.10-3.11
Sb (0.5482, 0.8989, 0.2536)  5 Li 2.85-3.13, 2 Ce 3.10-3.11
Sb (0.4518, 0.1011, 0.7464)  5 Li 2.85-3.13, 2 Ce 3.10-3.11
Sb (0.1011, 0.7006, 0.7464)  5 Li 2.85-3.13, 2 Ce 3.10-3.11
Sb (0.7006, 0.4518, 0.7464)  5 Li 2.85-3.13, 2 Ce 3.10-3.11

Values from the calculation:
E, eV per cell: -54.65
Raw formation energy, eV/atom: -0.47
Magnetic moment, μB per cell: 0.1
ρ, kg/m³: 4600

=====

VASP calculation (GGA-PBE) on crystalline SrDyBi2 at its relaxed geometry.

Lattice parameters (Å, degrees): 4.1012 4.1012 7.7417 90.00 90.00 90.00
Last column: nearest neighbours and their distance in Å.
Positions (direct):
Sr (0.5000, 0.5000, 0.5000)  8 Bi 3.60, 2 Dy 3.87
Bi (0.0000, 0.0000, 0.7753)  4 Dy 3.38, 1 Bi 3.48, 4 Sr 3.60
Bi (0.0000, 0.0000, 0.2247)  4 Dy 3.38, 1 Bi 3.48, 4 Sr 3.60
Dy (0.5000, 0.5000, 0.0000)  8 Bi 3.38

Values from the calculation:
E, eV per cell: -16.74
Energy of formation, meV per atom: -674
Magnetic moment, μB per cell: 0.0
ΔE to the lowest computed polymorph, eV/f.u.: 0.36
ρ, kg/m³: 8520

=====

VASP calculation (GGA-PBE) on crystalline Y4MgAl at its relaxed geometry.

Lattice parameters (Å, degrees): 6.3138 6.3138 6.3138 60.00 60.00 60.00
Last column: nearest neighbours and their distance in Å.
Positions (direct):
Y (0.8736, 0.3755, 0.3755)  6 Y 3.15-3.17
Y (0.3755, 0.3755, 0.8736)  6 Y 3.15-3.17
Y (0.3755, 0.8736, 0.3755)  6 Y 3.15-3.17
Y (0.3755, 0.3755, 0.3755)  6 Y 3.15-3.17
Mg (0.0000, 0.0000, 0.0000)  12 Y 3.70, 4 Al 3.87
Al (0.7500, 0.7500, 0.7500)  12 Y 3.70, 4 Mg 3.87

Values from the calculation:
E, eV per cell: -29.06
Energy of formation, meV per atom: 355
Magnetic moment, μB per cell: 0.0
ΔE to the lowest computed polymorph, eV/f.u.: 1.78
ρ, kg/m³: 3797

=====

VASP calculation (GGA-PBE) on crystalline Er3Ag2Pt at its relaxed geometry.

Lattice parameters (Å, degrees): 5.9426 7.8596 7.2692 105.26 114.13 90.00
Last column: nearest neighbours and their distance in Å.
Positions (direct):
Er (0.4876, 0.2500, 0.0000)  2 Pt 2.93-3.02, 4 Ag 2.95-3.14
Er (0.5124, 0.7500, 0.0000)  2 Pt 2.93-3.02, 4 Ag 2.95-3.14
Er (0.0637, 0.0803, 0.3009)  2 Pt 2.75-2.83, 4 Ag 2.97-3.05
Er (0.7628, 0.4197, 0.6991)  2 Pt 2.75-2.83, 4 Ag 2.97-3.05
Er (0.2372, 0.5803, 0.3009)  2 Pt 2.75-2.83, 4 Ag 2.97-3.05
Er (0.9363, 0.9197, 0.6991)  2 Pt 2.75-2.83, 4 Ag 2.97-3.05
Ag (0.7695, 0.5651, 0.3544)  6 Er 2.95-3.14, 1 Ag 3.07
Ag (0.5849, 0.0651, 0.3544)  6 Er 2.95-3.14, 1 Ag 3.07
Ag (0.4151, 0.9349, 0.6456)  6 Er 2.95-3.14, 1 Ag 3.07
Ag (0.2305, 0.4349, 0.6456)  6 Er 2.95-3.14, 1 Ag 3.07
Pt (0.0047, 0.7500, 0.0000)  6 Er 2.75-3.02
Pt (0.9953, 0.2500, 0.0000)  6 Er 2.75-3.02

Values from the calculation:
E, eV per cell: -57.00
Energy of formation, meV per atom: -512
Magnetic moment, μB per cell: 0.0
ΔE to the lowest computed polymorph, eV/f.u.: 0.92
ρ, kg/m³: 10216

=====

VASP calculation (GGA-PBE) on crystalline Tl3Ag2Te4 at its relaxed geometry.

Lattice parameters (Å, degrees): 6.7374 9.4396 9.4396 74.37 93.54 93.54
Last column: nearest neighbours and their distance in Å.
Positions (direct):
Tl (0.9865, 0.9972, 0.2580)  6 Te 3.27-3.52
Tl (0.5135, 0.7420, 0.0028)  6 Te 3.27-3.52
Tl (0.0135, 0.0028, 0.7420)  6 Te 3.27-3.52
Tl (0.4865, 0.2580, 0.9972)  6 Te 3.27-3.52
Tl (0.2500, 0.6225, 0.3775)  6 Te 3.24-3.37
Tl (0.7500, 0.3775, 0.6225)  6 Te 3.24-3.37
Ag (0.4370, 0.1483, 0.4296)  4 Te 2.81-2.85, 1 Ag 2.91
Ag (0.0630, 0.5704, 0.8517)  4 Te 2.81-2.85, 1 Ag 2.91
Ag (0.5630, 0.8517, 0.5704)  4 Te 2.81-2.85, 1 Ag 2.91
Ag (0.9370, 0.4296, 0.1483)  4 Te 2.81-2.85, 1 Ag 2.91
Te (0.4924, 0.9506, 0.2591)  2 Ag 2.83-2.85
Te (0.0076, 0.7409, 0.0494)  2 Ag 2.83-2.85
Te (0.5076, 0.0494, 0.7409)  2 Ag 2.83-2.85
Te (0.9924, 0.2591, 0.9506)  2 Ag 2.83-2.85
Te (0.0691, 0.2722, 0.4329)  2 Ag 2.81-2.82
Te (0.4309, 0.5671, 0.7278)  2 Ag 2.81-2.82
Te (0.9309, 0.7278, 0.5671)  2 Ag 2.81-2.82
Te (0.5691, 0.4329, 0.2722)  2 Ag 2.81-2.82

Values from the calculation:
E, eV per cell: -52.79
Raw formation energy, eV/atom: -0.11
Magnetic moment, μB per cell: 0.0
ΔE to the lowest computed polymorph, eV/f.u.: 0.42
ρ, kg/m³: 7717

=====

VASP calculation (GGA-PBE) on crystalline TmThBi at its relaxed geometry.

Lattice parameters (Å, degrees): 5.7212 5.6998 6.3533 90.00 116.76 90.00
Last column: nearest neighbours and their distance in Å.
Positions (direct):
Th (0.4056, 0.7500, 0.8112)  4 Bi 3.33-3.38, 3 Tm 3.55-3.57, 2 Th 3.57
Th (0.5944, 0.2500, 0.1888)  4 Bi 3.33-3.38, 3 Tm 3.55-3.57, 2 Th 3.57
Bi (0.7463, 0.7500, 0.4925)  4 Th 3.33-3.38, 4 Tm 3.36-3.40
Bi (0.2537, 0.2500, 0.5075)  4 Th 3.33-3.38, 4 Tm 3.36-3.40
Tm (0.9089, 0.2500, 0.8178)  4 Bi 3.36-3.40, 2 Tm 3.52, 3 Th 3.55-3.57
Tm (0.0911, 0.7500, 0.1822)  4 Bi 3.36-3.40, 2 Tm 3.52, 3 Th 3.55-3.57

Values from the calculation:
E, eV per cell: -33.52
Energy of formation, meV per atom: -329
Magnetic moment, μB per cell: 0.0
ΔE to the lowest computed polymorph, eV/f.u.: 0.28
ρ, kg/m³: 10950

=====

VASP calculation (GGA-PBE) on crystalline Sr2YRu at its relaxed geometry.

Lattice parameters (Å, degrees): 3.5942 3.5942 9.8704 90.00 90.00 90.15
Last column: nearest neighbours and their distance in Å.
Positions (direct):
Ru (0.5000, 0.5000, 0.7500)  8 Sr 3.11-3.12
Sr (0.0000, 0.0000, 0.9321)  4 Ru 3.11-3.12
Sr (0.0000, 0.0000, 0.5679)  4 Ru 3.11-3.12
Y (0.5000, 0.5000, 0.2500)  4 Y 3.59

Values from the calculation:
E, eV per cell: -17.23
Energy of formation, meV per atom: 468
Magnetic moment, μB per cell: 1.2
ΔE to the lowest computed polymorph, eV/f.u.: 1.64
ρ, kg/m³: 4756

=====

VASP calculation (GGA-PBE) on crystalline LaTcSb2Te at its relaxed geometry.

Lattice parameters (Å, degrees): 6.0326 6.0326 5.9983 90.00 90.00 90.00
Last column: nearest neighbours and their distance in Å.
Positions (direct):
Sb (0.0000, 0.5000, 0.0000)  2 La 3.02
Sb (0.5000, 0.0000, 0.0000)  2 La 3.02
Te (0.0000, 0.0000, 0.5000)  2 La 3.00
Tc (0.5000, 0.5000, 0.5000)  8 Sb 4.25, 4 Te 4.27
La (0.0000, 0.0000, 0.0000)  2 Te 3.00, 4 Sb 3.02

Values from the calculation:
E, eV per cell: -20.82
Raw formation energy, eV/atom: 1.17
Magnetic moment, μB per cell: 4.1
ΔE to the lowest computed polymorph, eV/f.u.: 6.51
ρ, kg/m³: 4625

=====

VASP calculation (GGA-PBE) on crystalline Ni2MoCl at its relaxed geometry.

Lattice parameters (Å, degrees): 2.8215 2.8215 7.0155 90.00 90.00 89.98
Last column: nearest neighbours and their distance in Å.
Positions (direct):
Cl (0.5000, 0.5000, 0.2500)  8 Ni 2.69, 4 Cl 2.82
Mo (0.5000, 0.5000, 0.7500)  8 Ni 2.62, 4 Mo 2.82
Ni (0.0000, 0.0000, 0.9931)  4 Mo 2.62, 4 Cl 2.69, 4 Ni 2.82
Ni (0.0000, 0.0000, 0.5069)  4 Mo 2.62, 4 Cl 2.69, 4 Ni 2.82

Values from the calculation:
E, eV per cell: -23.32
Raw formation energy, eV/atom: 0.23
Magnetic moment, μB per cell: 0.0
ΔE to the lowest computed polymorph, eV/f.u.: 0.35
ρ, kg/m³: 7397